(1)
The following is a DFT calculation (PBE-GGA) of crystalline Ac3Cu2AgPd9 at its relaxed geometry.

a b c (Å): 7.7510 7.7510 6.3954
angles (deg): 90.00 90.00 120.00
Closest atoms and distances in Å follow each position.
Fractional coordinates of all 15 atoms:
Ac 0.0000 0.0000 0.0000  6 Pd 3.11, 2 Ag 3.20
Ac 0.3333 0.6667 0.6607  6 Pd 3.05-3.12, 2 Cu 3.10-3.30
Ac 0.6667 0.3333 0.3393  6 Pd 3.05-3.12, 2 Cu 3.10-3.30
Cu 0.3333 0.6667 0.1454  6 Pd 2.42-2.43
Cu 0.6667 0.3333 0.8546  6 Pd 2.42-2.43
Ag 0.0000 0.0000 0.5000  6 Pd 2.59
Pd 0.0000 0.5000 0.0000  2 Cu 2.42
Pd 0.1736 0.3471 0.3226  1 Cu 2.43, 1 Ag 2.59
Pd 0.1736 0.8264 0.3226  1 Cu 2.43, 1 Ag 2.59
Pd 0.3471 0.1736 0.6774  1 Cu 2.43, 1 Ag 2.59
Pd 0.5000 0.0000 0.0000  2 Cu 2.42
Pd 0.5000 0.5000 0.0000  2 Cu 2.42
Pd 0.6529 0.8264 0.3226  1 Cu 2.43, 1 Ag 2.59
Pd 0.8264 0.1736 0.6774  1 Cu 2.43, 1 Ag 2.59
Pd 0.8264 0.6529 0.6774  1 Cu 2.43, 1 Ag 2.59

- VASP energy: -4.96 eV per atom
- Formation energy from the elements: -421 kJ/mol of formula units

(2)
The following is a DFT calculation (PBE-GGA) of crystalline SmEr9Sc2 at its relaxed geometry.

a b c (Å): 10.9686 10.9686 3.4467
angles (deg): 90.00 90.00 120.00
Closest atoms and distances in Å follow each position.
Fractional coordinates of all 12 atoms:
Sm 0.0000 0.0000 0.0000  2 Sm 3.45, 12 Er 3.84
Er 0.0000 0.5000 0.0000  2 Sc 3.17, 10 Er 3.45-3.50
Er 0.1804 0.3607 0.5000  2 Sc 3.38, 8 Er 3.43-3.50
Er 0.1804 0.8196 0.5000  2 Sc 3.38, 8 Er 3.43-3.50
Er 0.3607 0.1804 0.5000  2 Sc 3.38, 8 Er 3.43-3.50
Er 0.5000 0.0000 0.0000  2 Sc 3.17, 10 Er 3.45-3.50
Er 0.5000 0.5000 0.0000  2 Sc 3.17, 10 Er 3.45-3.50
Er 0.6393 0.8196 0.5000  2 Sc 3.38, 8 Er 3.43-3.50
Er 0.8196 0.1804 0.5000  2 Sc 3.38, 8 Er 3.43-3.50
Er 0.8196 0.6393 0.5000  2 Sc 3.38, 8 Er 3.43-3.50
Sc 0.3333 0.6667 0.0000  9 Er 3.17-3.38, 2 Sc 3.45
Sc 0.6667 0.3333 0.0000  9 Er 3.17-3.38, 2 Sc 3.45

- VASP energy: -4.83 eV per atom
- Formation energy from the elements: 42 kJ/mol of formula units

(3)
The following is a DFT calculation (PBE-GGA) of crystalline Sm2ZnAg3 at its relaxed geometry.

a b c (Å): 9.5226 8.9309 5.8753
angles (deg): 77.00 66.04 36.95
Closest atoms and distances in Å follow each position.
Fractional coordinates of all 12 atoms:
Sm 0.2474 0.7526 0.7526  10 Ag 3.22-3.29, 2 Zn 3.25, 2 Sm 3.40-3.47
Sm 0.2500 0.2500 0.2500  8 Ag 3.22, 4 Zn 3.24, 2 Sm 3.44
Sm 0.7500 0.7500 0.7500  8 Ag 3.22, 4 Zn 3.24, 2 Sm 3.44
Sm 0.7526 0.2474 0.2474  10 Ag 3.22-3.29, 2 Zn 3.25, 2 Sm 3.40-3.47
Zn 0.3335 0.3335 0.6665  3 Ag 2.68-2.69
Zn 0.6665 0.6665 0.3335  3 Ag 2.68-2.69
Ag 0.1701 0.1701 0.8299  1 Zn 2.69, 2 Ag 2.82
Ag 0.1712 0.6587 0.3413  1 Zn 2.68, 2 Ag 2.80-2.82
Ag 0.3413 0.8288 0.1712  1 Zn 2.68, 2 Ag 2.80-2.82
Ag 0.6587 0.1712 0.8288  1 Zn 2.68, 2 Ag 2.80-2.82
Ag 0.8288 0.3413 0.6587  1 Zn 2.68, 2 Ag 2.80-2.82
Ag 0.8299 0.8299 0.1701  1 Zn 2.69, 2 Ag 2.82

- VASP energy: -3.50 eV per atom
- Formation energy from the elements: -170 kJ/mol of formula units

(4)
The following is a DFT calculation (PBE-GGA) of crystalline Ac3MgAl2Ag6 at its relaxed geometry.

a b c (Å): 6.3968 6.3968 8.9292
angles (deg): 90.00 90.00 120.00
Closest atoms and distances in Å follow each position.
Fractional coordinates of all 12 atoms:
Ac 0.0000 0.0000 0.0000  6 Ag 3.21
Ac 0.3333 0.6667 0.6329  9 Ag 3.30-3.57, 1 Al 3.52
Ac 0.6667 0.3333 0.3671  9 Ag 3.30-3.57, 1 Al 3.52
Mg 0.0000 0.0000 0.5000  6 Ag 2.84
Al 0.3333 0.6667 0.0272  3 Ag 2.79
Al 0.6667 0.3333 0.9728  3 Ag 2.79
Ag 0.1836 0.3672 0.2787  1 Al 2.79, 1 Mg 2.84, 2 Ag 2.87
Ag 0.1836 0.8164 0.2787  1 Al 2.79, 1 Mg 2.84, 2 Ag 2.87
Ag 0.3672 0.1836 0.7213  1 Al 2.79, 1 Mg 2.84, 2 Ag 2.87
Ag 0.6328 0.8164 0.2787  1 Al 2.79, 1 Mg 2.84, 2 Ag 2.87
Ag 0.8164 0.1836 0.7213  1 Al 2.79, 1 Mg 2.84, 2 Ag 2.87
Ag 0.8164 0.6328 0.7213  1 Al 2.79, 1 Mg 2.84, 2 Ag 2.87

- VASP energy: -3.30 eV per atom
- Formation energy from the elements: -109 kJ/mol of formula units

Question: Among the records above, which one has the highest formation energy from the elements?
Answer: SmEr9Sc2

Question: What is the formula in the first record?
Answer: Ac3Cu2AgPd9